Below is Ac8PrTm2 after structural relaxation, with properties calculated at the PBE level.

DFT formation energy: 3.96 eV per formula unit
N(E_F): 16.5 states/eV per cell
Total moment: 0.00 μB per formula unit

a b c (Å): 9.118 9.118 6.210
angles (deg): 99.57 99.57 84.53
Fractional coordinates of all 11 atoms:
Ac 0.080 0.080 0.293
Ac 0.133 0.644 0.190
Ac 0.356 0.356 0.493
Ac 0.356 0.867 0.810
Ac 0.644 0.133 0.190
Ac 0.644 0.644 0.507
Ac 0.867 0.356 0.810
Ac 0.920 0.920 0.707
Pr 0.500 0.500 0.000
Tm 0.239 0.239 0.922
Tm 0.761 0.761 0.078